Computed, not measured: a relaxed structure of Cu3BiO at the GGA-PBE level of DFT.

Cell lengths 4.961, 4.961, 4.961 Å; angles 90.00, 90.00, 90.00 degrees
Element x y z (fractional)
Cu1 0.000 0.000 0.500
Cu2 0.000 0.500 0.000
Cu3 0.500 0.000 0.000
Bi1 0.000 0.000 0.000
O1 0.500 0.500 0.500

Values from the calculation:
Formation energy (no corrections) (eV per formula unit): 6.47
DFT total energy (eV per formula unit): -14.7